The following is a PBE calculation of an optimized crystal structure of YGa3Re, from the Alexandria database.

Cell lengths 5.136, 5.136, 5.136 Å; angles 90.00, 90.00, 90.00 degrees
Atoms (fractional coordinates):
Y (0.000, 0.000, 0.000)
Ga (0.000, 0.000, 0.500)
Ga (0.000, 0.500, 0.000)
Ga (0.500, 0.000, 0.000)
Re (0.500, 0.500, 0.500)

Properties
DOS(E_F) in states/eV/f.u.: 15.43
Formation energy in eV per atom: 1.99
Theoretical density in g cm⁻³: 5.94
E above lowest polymorph in eV/atom: 2.058
SG: Pm-3m